# 1
This record from Alexandria describes crystalline CePr6Er10 at its relaxed geometry. The functional is PBE-GGA.

* total moment: 1.4 μB/cell
* energy of formation from the pure elements: 14 kJ/mol of atoms
* E: -77.747 eV for the cell shown

Geometry as CIF:
```
data_CePr6Er10
_chemical_formula_sum 'Ce1 Pr6 Er10'
_cell_length_a 9.692
_cell_length_b 9.692
_cell_length_c 6.925
_cell_angle_alpha 90.00
_cell_angle_beta 90.00
_cell_angle_gamma 120.00
_space_group_name_H-M_alt 'P 1'
_space_group_IT_number 1
loop_
_space_group_symop_operation_xyz
'x,y,z'
loop_
_atom_site_label
_atom_site_fract_x
_atom_site_fract_y
_atom_site_fract_z
Ce1 0.000 0.000 0.000
Pr1 0.000 0.380 0.201
Pr2 0.000 0.620 0.799
Pr3 0.380 0.000 0.201
Pr4 0.380 0.380 0.799
Pr5 0.620 0.000 0.799
Pr6 0.620 0.620 0.201
Er1 0.000 0.271 0.681
Er2 0.000 0.729 0.319
Er3 0.271 0.000 0.681
Er4 0.271 0.271 0.319
Er5 0.333 0.667 0.000
Er6 0.333 0.667 0.500
Er7 0.667 0.333 0.000
Er8 0.667 0.333 0.500
Er9 0.729 0.000 0.319
Er10 0.729 0.729 0.681
```

---

# 2
This record from Alexandria describes crystalline Hf2BeTc at its relaxed geometry. The functional is PBE-GGA.

* total moment: 0.0 μB/cell
* energy of formation from the pure elements: -31 kJ/mol of atoms
* E: -35.279 eV for the cell shown

Geometry as CIF:
```
data_Hf2BeTc
_chemical_formula_sum 'Hf2 Be1 Tc1'
_cell_length_a 3.270
_cell_length_b 3.270
_cell_length_c 6.214
_cell_angle_alpha 90.00
_cell_angle_beta 90.00
_cell_angle_gamma 90.00
_space_group_name_H-M_alt 'P 1'
_space_group_IT_number 1
loop_
_space_group_symop_operation_xyz
'x,y,z'
loop_
_atom_site_label
_atom_site_fract_x
_atom_site_fract_y
_atom_site_fract_z
Hf1 0.000 0.000 0.247
Hf2 0.000 0.000 0.753
Be1 0.500 0.500 0.000
Tc1 0.500 0.500 0.500
```

---

Question: Which of these has the lowest total moment?
Answer: Hf2BeTc

---

Question: Look up the total moment of the second one.
Answer: 0.0 μB/cell

---

Question: Which value of E does entry 2 give?
Answer: -35.279 eV for the cell shown